Entry from Alexandria via LeMat-Bulk: a geometry-optimized KPuAs2O8 structure (PBE).

Geometry as POSCAR:
```
KPuAs2O8
1.0
5.724 0.000 0.000
-2.862 4.957 0.000
0.000 0.000 7.857
K Pu As O
1 1 2 8
direct
0.000 0.000 0.000
0.000 0.000 0.500
0.333 0.667 0.251
0.667 0.333 0.749
0.171 0.341 0.335
0.171 0.829 0.335
0.333 0.667 0.040
0.341 0.171 0.665
0.659 0.829 0.335
0.667 0.333 0.960
0.829 0.171 0.665
0.829 0.659 0.665
```

E ... -85.237 eV per formula unit
V ... 222.92 Å³/f.u.

***

Entry from Alexandria via LeMat-Bulk: a geometry-optimized K2RbAs2O6 structure (PBE).

Geometry as POSCAR:
```
K2RbAs2O6
1.0
5.283 -3.377 0.000
5.283 3.377 0.000
-2.923 0.000 6.375
K Rb As O
2 1 2 6
direct
0.184 0.184 0.130
0.816 0.816 0.870
0.000 0.000 0.500
0.470 0.470 0.686
0.530 0.530 0.314
0.236 0.655 0.190
0.295 0.295 0.570
0.345 0.764 0.810
0.655 0.236 0.190
0.705 0.705 0.430
0.764 0.345 0.810
```

E ... -57.486 eV per formula unit
V ... 227.49 Å³/f.u.

***

V of number 2 (K2RbAs2O6)? 227.49 Å³/f.u.